# 1
First-principles (PBE-GGA) data for an optimized crystal structure of OsSeCl2, as listed in Alexandria via LeMat-Bulk.

Output
For the density of states at the Fermi level, the calculation gives 0.30 states/eV/atom. The space group is Cmmm (65). The polymorph energy (0 for the lowest one) is 70.8 meV/atom.

a b c (Å): 6.900 6.900 3.652
angles (deg): 90.00 90.00 140.06
Fractional coordinates of all 4 atoms:
Os: 0.000 0.000 0.000
Se: 0.500 0.500 0.000
Cl: 0.123 0.877 0.500
Cl: 0.877 0.123 0.500

***

# 2
First-principles (PBE-GGA) data for an optimized crystal structure of La12Pr3Pu, as listed in Alexandria via LeMat-Bulk.

Output
The energy of formation from the pure elements is 0.031 eV/atom. For the density of states at the Fermi level, the calculation gives 2.05 states/eV/atom. The space group is P4/mmm (123).

a b c (Å): 5.226 5.226 20.954
angles (deg): 90.00 90.00 90.00
Fractional coordinates of all 16 atoms:
La: 0.000 0.000 0.000
La: 0.000 0.000 0.247
La: 0.000 0.000 0.500
La: 0.000 0.000 0.753
La: 0.000 0.500 0.119
La: 0.000 0.500 0.373
La: 0.000 0.500 0.627
La: 0.000 0.500 0.881
La: 0.500 0.000 0.119
La: 0.500 0.000 0.373
La: 0.500 0.000 0.627
La: 0.500 0.000 0.881
Pr: 0.500 0.500 0.248
Pr: 0.500 0.500 0.500
Pr: 0.500 0.500 0.752
Pu: 0.500 0.500 0.000

***

# 3
First-principles (PBE-GGA) data for an optimized crystal structure of DyHoHgRu, as listed in Alexandria via LeMat-Bulk.

Output
The energy of formation from the pure elements is -0.367 eV/atom. For the density of states at the Fermi level, the calculation gives 1.03 states/eV/atom. The space group is F-43m (216). The polymorph energy (0 for the lowest one) is 126.0 meV/atom.

a b c (Å): 5.017 5.017 5.017
angles (deg): 60.00 60.00 60.00
Fractional coordinates of all 4 atoms:
Dy: 0.000 0.000 0.000
Ho: 0.500 0.500 0.500
Hg: 0.750 0.750 0.750
Ru: 0.250 0.250 0.250

***

# 4
First-principles (PBE-GGA) data for an optimized crystal structure of Zn4CrPd15, as listed in Alexandria via LeMat-Bulk.

Output
The energy of formation from the pure elements is -0.259 eV/atom. For the density of states at the Fermi level, the calculation gives 1.44 states/eV/atom. The space group is P4/mmm (123).

a b c (Å): 3.915 3.915 19.652
angles (deg): 90.00 90.00 90.00
Fractional coordinates of all 20 atoms:
Zn: 0.000 0.000 0.100
Zn: 0.000 0.000 0.299
Zn: 0.000 0.000 0.701
Zn: 0.000 0.000 0.900
Cr: 0.000 0.000 0.500
Pd: 0.000 0.500 0.000
Pd: 0.000 0.500 0.200
Pd: 0.000 0.500 0.401
Pd: 0.000 0.500 0.599
Pd: 0.000 0.500 0.800
Pd: 0.500 0.000 0.000
Pd: 0.500 0.000 0.200
Pd: 0.500 0.000 0.401
Pd: 0.500 0.000 0.599
Pd: 0.500 0.000 0.800
Pd: 0.500 0.500 0.100
Pd: 0.500 0.500 0.301
Pd: 0.500 0.500 0.500
Pd: 0.500 0.500 0.699
Pd: 0.500 0.500 0.900

***

| no. | calculated total energy (eV/atom) |
| --- | --- |
| 1 | -4.646 |
| 2 | -5.456 |
| 3 | -5.056 |
| 4 | -4.890 |